The following is a PBE-GGA calculation of an optimized crystal structure of EuTiH3, from Alexandria via LeMat-Bulk.

Unit cell a=3.8565 b=3.8565 c=3.8565 alpha=90.00 beta=90.00 gamma=90.00
Element x y z (fractional)
Eu1 0.0000 0.0000 0.0000
Ti1 0.5000 0.5000 0.5000
H1 0.0000 0.5000 0.5000
H2 0.5000 0.0000 0.5000
H3 0.5000 0.5000 0.0000

## Properties
As for the total energy: -6.003 eV per atom. The magnetization comes out at 9.033 μB per formula unit. As for the volume: 11.47 Å³/atom. Its space-group type is No. 221.